Record 1
A plane-wave DFT calculation with PBE was carried out for a relaxed structure of BiAsC.

Output
Its crystal system is monoclinic. The calculated formation energy comes out at 0.689 eV per atom. As for the density of states at the Fermi level: 0.721 states/eV per cell. The volume comes out at 20.86 Å³ per atom. The value obtained for the size of the total moment is 0.0 μB/cell. Its raw total energy is -5.229 eV/atom. Its space-group type is Cm.

abc: 3.2478 3.2478 6.8512
angles: 90.93 90.93 60.01
Closest atoms and distances in Å follow each position.
Positions (direct):
Bi 0.0000 0.0000 0.0000  1 C 2.37
As 0.3218 0.3218 0.5253  3 C 2.07
C 0.9914 0.9914 0.6539  3 As 2.07

Record 2
A plane-wave DFT calculation with PBE was carried out for a relaxed structure of NaFePb2I.

Output
The value obtained for the uncorrected formation energy is 0.766 eV/atom. Its crystal system is tetragonal. As for the density of states at the Fermi level: 4.059 states/eV per cell. The volume comes out at 36.90 Å³ per atom. The value obtained for the size of the total moment is 2.2 μB/cell. Its raw total energy is -2.984 eV/atom. Its space-group type is P4/mmm.

abc: 6.2820 6.2820 4.6755
angles: 90.00 90.00 90.00
Closest atoms and distances in Å follow each position.
Positions (direct):
Na 0.0000 0.0000 0.0000  8 Pb 3.92
Fe 0.5000 0.5000 0.0000  2 I 2.34
Pb 0.0000 0.5000 0.5000  2 I 3.14
Pb 0.5000 0.0000 0.5000  2 I 3.14
I 0.5000 0.5000 0.5000  2 Fe 2.34

Record 3
A plane-wave DFT calculation with PBE was carried out for a relaxed structure of Li2LaMn.

Output
Its crystal system is tetragonal. The calculated formation energy comes out at 0.312 eV per atom. As for the density of states at the Fermi level: 3.393 states/eV per cell. The volume comes out at 22.45 Å³ per atom. The value obtained for the size of the total moment is 3.8 μB/cell. Its raw total energy is -4.169 eV/atom. Its space-group type is I-4m2.

abc: 5.0282 5.0282 5.0282
angles: 120.07 120.07 89.88
Closest atoms and distances in Å follow each position.
Positions (direct):
Li 0.0000 0.0000 0.0000  4 Mn 3.08, 4 Li 3.08
Li 0.7500 0.2500 0.5000  4 La 3.08, 4 Li 3.08
La 0.5000 0.5000 0.0000  4 Mn 3.08, 4 Li 3.08
Mn 0.2500 0.7500 0.5000  4 La 3.08, 4 Li 3.08

Record 4
A plane-wave DFT calculation with PBE was carried out for a relaxed structure of ZnPt2Rh6.

Output
Its crystal system is monoclinic. The calculated formation energy comes out at 0.072 eV per atom. As for the density of states at the Fermi level: 12.430 states/eV per cell. The volume comes out at 15.11 Å³ per atom. The value obtained for the size of the total moment is 0.0 μB/cell. Its raw total energy is -6.313 eV/atom. Its space-group type is C2/m.

abc: 4.5766 4.5766 8.1351
angles: 108.24 108.24 58.79
Closest atoms and distances in Å follow each position.
Positions (direct):
Zn 0.0000 0.0000 0.0000  8 Rh 2.61-2.70, 2 Pt 2.67
Pt 0.0049 0.0049 0.6738  8 Rh 2.63-2.70, 1 Zn 2.67, 1 Pt 2.80
Pt 0.9951 0.9951 0.3262  8 Rh 2.63-2.70, 1 Zn 2.67, 1 Pt 2.80
Rh 0.3029 0.3029 0.2684  1 Zn 2.61, 3 Pt 2.66, 7 Rh 2.68-2.89
Rh 0.3083 0.3083 0.6040  4 Pt 2.68-2.70, 7 Rh 2.72-2.89
Rh 0.3124 0.3124 0.9423  1 Pt 2.63, 3 Zn 2.65-2.70, 7 Rh 2.68-2.80
Rh 0.6876 0.6876 0.0577  1 Pt 2.63, 3 Zn 2.65-2.70, 7 Rh 2.68-2.80
Rh 0.6917 0.6917 0.3960  4 Pt 2.68-2.70, 7 Rh 2.72-2.89
Rh 0.6971 0.6971 0.7316  1 Zn 2.61, 3 Pt 2.66, 7 Rh 2.68-2.89

Record 5
A plane-wave DFT calculation with PBE was carried out for a relaxed structure of Ce2Te3F2.

Output
The value obtained for the uncorrected formation energy is -2.130 eV/atom. Its crystal system is orthorhombic. As for the density of states at the Fermi level: 50.705 states/eV per cell. The volume comes out at 27.59 Å³ per atom. The value obtained for the size of the total moment is 6.8 μB/cell. Its raw total energy is -5.706 eV/atom. Its space-group type is Pbcm.

abc: 7.7926 8.2938 11.9528
angles: 90.00 90.00 90.00
Closest atoms and distances in Å follow each position.
Positions (direct):
Ce 0.0386 0.2500 0.0000  4 F 2.37-2.63
Ce 0.0386 0.2500 0.5000  4 F 2.37-2.63
Ce 0.2734 0.5261 0.2500  2 F 2.50
Ce 0.2734 0.9739 0.7500  2 F 2.50
Ce 0.7266 0.0261 0.2500  2 F 2.50
Ce 0.7266 0.4739 0.7500  2 F 2.50
Ce 0.9614 0.7500 0.0000  4 F 2.37-2.63
Ce 0.9614 0.7500 0.5000  4 F 2.37-2.63
Te 0.0883 0.6446 0.7500  4 Ce 3.09-3.27, 2 F 3.30
Te 0.0883 0.8554 0.2500  4 Ce 3.09-3.27, 2 F 3.30
Te 0.4100 0.2097 0.1222  2 Te 3.00-3.05, 3 Ce 3.22-3.28
Te 0.4100 0.2097 0.3778  2 Te 3.00-3.05, 3 Ce 3.22-3.28
Te 0.4100 0.2903 0.6222  2 Te 3.00-3.05, 3 Ce 3.22-3.28
Te 0.4100 0.2903 0.8778  2 Te 3.00-3.05, 3 Ce 3.22-3.28
Te 0.5900 0.7097 0.1222  2 Te 3.00-3.05, 3 Ce 3.22-3.28
Te 0.5900 0.7097 0.3778  2 Te 3.00-3.05, 3 Ce 3.22-3.28
Te 0.5900 0.7903 0.6222  2 Te 3.00-3.05, 3 Ce 3.22-3.28
Te 0.5900 0.7903 0.8778  2 Te 3.00-3.05, 3 Ce 3.22-3.28
Te 0.9117 0.1446 0.7500  4 Ce 3.09-3.27, 2 F 3.30
Te 0.9117 0.3554 0.2500  4 Ce 3.09-3.27, 2 F 3.30
F 0.1459 0.5393 0.0582  3 Ce 2.37-2.63
F 0.1459 0.5393 0.4418  3 Ce 2.37-2.63
F 0.1459 0.9607 0.5582  3 Ce 2.37-2.63
F 0.1459 0.9607 0.9418  3 Ce 2.37-2.63
F 0.8541 0.0393 0.0582  3 Ce 2.37-2.63
F 0.8541 0.0393 0.4418  3 Ce 2.37-2.63
F 0.8541 0.4607 0.5582  3 Ce 2.37-2.63
F 0.8541 0.4607 0.9418  3 Ce 2.37-2.63

Record 6
A plane-wave DFT calculation with PBE was carried out for a relaxed structure of KSrIn.

Output
Its crystal system is monoclinic. The calculated formation energy comes out at -0.123 eV per atom. As for the density of states at the Fermi level: 6.259 states/eV per cell. The volume comes out at 45.18 Å³ per atom. The value obtained for the size of the total moment is 0.0 μB/cell. Its raw total energy is -1.962 eV/atom. Its space-group type is C2/m.

abc: 6.7377 6.7377 8.1832
angles: 120.74 120.74 67.91
Closest atoms and distances in Å follow each position.
Positions (direct):
K 0.1854 0.1854 0.0299  4 In 3.79-3.94, 3 K 3.86-4.17, 2 Sr 4.18-4.24
K 0.8146 0.8146 0.9701  4 In 3.79-3.94, 3 K 3.86-4.17, 2 Sr 4.18-4.24
Sr 0.3377 0.3377 0.6415  4 In 3.50-3.54
Sr 0.6623 0.6623 0.3585  4 In 3.50-3.54
In 0.2023 0.7977 0.5000  1 In 3.04
In 0.7977 0.2023 0.5000  1 In 3.04

Record 7
A plane-wave DFT calculation with PBE was carried out for a relaxed structure of Sc2FeNiC.

Output
Its crystal system is tetragonal. The calculated formation energy comes out at -0.335 eV per atom. As for the density of states at the Fermi level: 2.976 states/eV per cell. The volume comes out at 14.50 Å³ per atom. The value obtained for the size of the total moment is 0.0 μB/cell. Its raw total energy is -7.561 eV/atom. Its space-group type is P4/mmm.

abc: 4.5064 4.5064 3.5696
angles: 90.00 90.00 90.00
Closest atoms and distances in Å follow each position.
Positions (direct):
Sc 0.0000 0.5000 0.0000  2 C 2.25
Sc 0.5000 0.0000 0.0000  2 C 2.25
Fe 0.0000 0.0000 0.5000  2 C 1.78
Ni 0.5000 0.5000 0.5000  8 Sc 2.87, 4 Fe 3.19
C 0.0000 0.0000 0.0000  2 Fe 1.78

Record 8
A plane-wave DFT calculation with PBE was carried out for a relaxed structure of TaTi2AlC.

Output
Its crystal system is tetragonal. The calculated formation energy comes out at -0.458 eV per atom. As for the density of states at the Fermi level: 2.078 states/eV per cell. The volume comes out at 14.92 Å³ per atom. The value obtained for the size of the total moment is 0.0 μB/cell. Its raw total energy is -8.579 eV/atom. Its space-group type is P4/mmm.

abc: 4.1392 4.1392 4.3537
angles: 90.00 90.00 90.00
Closest atoms and distances in Å follow each position.
Positions (direct):
Ta 0.0000 0.0000 0.0000  2 C 2.18
Ti 0.0000 0.5000 0.5000  2 C 2.07
Ti 0.5000 0.0000 0.5000  2 C 2.07
Al 0.5000 0.5000 0.0000  4 Ta 2.93, 8 Ti 3.00
C 0.0000 0.0000 0.5000  4 Ti 2.07, 2 Ta 2.18